(1)
Below is a geometry-optimized YGa5Ni2Ir structure, with properties calculated at the GGA-PBE level.

For the final energy, the calculation gives -4.930 eV/atom. For the calculated density, the calculation gives 8.2 g cm⁻³.

It has space group P4/mmm (No. 123), with a = 4.637 Å, b = 4.637 Å, c = 6.995 Å, α = 90.00°, β = 90.00° and γ = 90.00°. Symmetry generates all atoms from Y at (0.000, 0.000, 0.000), Ga at (0.000, 0.500, 0.305), Ga at (0.500, 0.500, 0.000), Ni at (0.500, 0.500, 0.326) and Ir at (0.000, 0.000, 0.500).

---

(2)
Below is a geometry-optimized TmHfP2 structure, with properties calculated at the GGA-PBE level.

For the calculated density, the calculation gives 8.7 g cm⁻³. The calculation puts the energy above the lowest structure with this stoichiometry at 0.000 eV/atom.

It has space group C2/m (No. 12), with a = 6.568 Å, b = 3.795 Å, c = 6.656 Å, α = 90.00°, β = 109.27° and γ = 90.00°. Symmetry generates all atoms from Tm at (0.000, 0.000, 0.000), Hf at (0.000, 0.500, 0.500) and P at (0.245, 0.000, 0.736).

---

(3)
Below is a geometry-optimized Zr2Ir structure, with properties calculated at the GGA-PBE level.

For the final energy, the calculation gives -9.211 eV/atom. For the calculated density, the calculation gives 9.9 g cm⁻³.

It has space group Immm (No. 71), with a = 3.493 Å, b = 6.129 Å, c = 11.748 Å, α = 90.00°, β = 90.00° and γ = 90.00°. Symmetry generates all atoms from Zr at (0.000, 0.000, 0.206), Zr at (0.000, 0.260, 0.500) and Ir at (0.000, 0.500, 0.128).

---

(4)
Below is a geometry-optimized KTiRe2Pd structure, with properties calculated at the GGA-PBE level.

For the final energy, the calculation gives -5.898 eV/atom. For the calculated density, the calculation gives 8.2 g cm⁻³.

It has space group P4/mmm (No. 123), with a = 4.870 Å, b = 4.870 Å, c = 4.850 Å, α = 90.00°, β = 90.00° and γ = 90.00°. Symmetry generates all atoms from K at (0.000, 0.000, 0.000), Ti at (0.500, 0.500, 0.000), Re at (0.000, 0.500, 0.500) and Pd at (0.500, 0.500, 0.500).

---

(5)
Below is a geometry-optimized BaAsS3 structure, with properties calculated at the GGA-PBE level.

For the calculated density, the calculation gives 2.6 g cm⁻³. The value obtained for the formation energy (no corrections) is 0.91 eV per atom.

It has space group Pm-3m (No. 221), with a = 5.790 Å, b = 5.790 Å, c = 5.790 Å, α = 90.00°, β = 90.00° and γ = 90.00°. Symmetry generates all atoms from Ba at (0.000, 0.000, 0.000), As at (0.500, 0.500, 0.500) and S at (0.000, 0.000, 0.500).

---

(6)
Below is a geometry-optimized PmTh2AgC structure, with properties calculated at the GGA-PBE level.

For the final energy, the calculation gives -6.414 eV/atom. For the calculated density, the calculation gives 9.4 g cm⁻³.

It has space group P4/mmm (No. 123), with a = 5.038 Å, b = 5.038 Å, c = 5.097 Å, α = 90.00°, β = 90.00° and γ = 90.00°. Symmetry generates all atoms from Pm at (0.000, 0.000, 0.000), Th at (0.000, 0.500, 0.500), Ag at (0.500, 0.500, 0.000) and C at (0.000, 0.000, 0.500).

---

(7)
Below is a geometry-optimized BaPrMnTe4 structure, with properties calculated at the GGA-PBE level.

For the calculated density, the calculation gives 5.8 g cm⁻³. The value obtained for the formation energy (no corrections) is -1.07 eV per atom.

It has space group P2_1/m (No. 11), with a = 7.902 Å, b = 6.563 Å, c = 9.725 Å, α = 90.00°, β = 107.21° and γ = 90.00°. Symmetry generates all atoms from Ba at (0.245, 0.250, 0.438), Pr at (0.236, 0.250, 0.939), Mn at (0.239, 0.750, 0.179), Te at (0.065, 0.750, 0.372), Te at (0.072, 0.750, 0.900) and Te at (0.484, 0.508, 0.773).

---

(8)
Below is a geometry-optimized Kr structure, with properties calculated at the GGA-PBE level.

For the final energy, the calculation gives -0.049 eV/atom. For the calculated density, the calculation gives 2.4 g cm⁻³.

It has space group R-3m (No. 166, hexagonal axes), with a = 4.3287 Å, b = 4.3287 Å, c = 32.1732 Å, α = 90.00°, β = 90.00° and γ = 120.00°. Symmetry generates all atoms from Kr at (0.0000, 0.0000, 0.0000) and Kr at (0.0000, 0.0000, 0.2222).